## ErFe2Os (PBE-GGA)

Data for a relaxed structure of ErFe2Os.

Cell: 5.2534 6.4441 4.2782 Å, 90.00 90.00 90.00°
Closest atoms and distances in Å follow each position.
Space group Cmmm (No. 65)
Unique sites:
Er (0.0000, 0.0000, 0.0000) (multiplicity 2)  2 Os 2.63, 4 Fe 2.92
Fe (0.0000, 0.3091, 0.5000) (multiplicity 4)  3 Fe 2.46-2.73, 2 Os 2.47
Os (0.0000, 0.5000, 0.0000) (multiplicity 2)  4 Fe 2.47, 2 Er 2.63

Properties
- Crystal system: orthorhombic
- N(E_F): 9.8 states/eV/cell
- Total DFT energy (no corrections): -7.6156 eV per atom
- Calculated formation energy: 2.26 eV per formula unit